Entry 1:
Computed, not measured: a relaxed Ba2ZrNb crystal at the PBE level of DFT.

Calculated values
energy of formation	1.1462	eV per atom
energy above the most stable polymorph in this dataset	0.0	kJ/mol of atoms

a b c (Å): 5.7153 5.7153 5.7153
angles (deg): 60.00 60.00 60.00
Last column: nearest neighbours and their distance in Å.
Element x y z (fractional)
1 Ba 0.2500 0.2500 0.2500  4 Zr 3.50, 4 Nb 3.50
2 Ba 0.7500 0.7500 0.7500  4 Zr 3.50, 4 Nb 3.50
3 Zr 0.0000 0.0000 0.0000  8 Ba 3.50
4 Nb 0.5000 0.5000 0.5000  8 Ba 3.50

=====

Entry 2:
Computed, not measured: a relaxed AcCdBiCl crystal at the PBE level of DFT.

Calculated values
E_form (uncorrected)	-0.8307	eV/atom

a b c (Å): 5.5686 5.5686 5.5686
angles (deg): 60.00 60.00 60.00
Last column: nearest neighbours and their distance in Å.
Element x y z (fractional)
1 Ac 0.0000 0.0000 0.0000  4 Cl 3.41, 4 Bi 3.41
2 Cd 0.5000 0.5000 0.5000  4 Cl 3.41, 4 Bi 3.41
3 Bi 0.2500 0.2500 0.2500  4 Cd 3.41, 4 Ac 3.41
4 Cl 0.7500 0.7500 0.7500  4 Cd 3.41, 4 Ac 3.41

=====

Entry 3:
Computed, not measured: a relaxed K2BaSb2 crystal at the PBE level of DFT.

Calculated values
E_form (uncorrected)	-0.5118	eV/atom
energy above the most stable polymorph in this dataset	2.2	kJ/mol of atoms

a b c (Å): 8.8072 8.8072 5.5986
angles (deg): 90.00 90.00 90.00
Last column: nearest neighbours and their distance in Å.
Element x y z (fractional)
1 K 0.1576 0.3424 0.0000  6 Sb 3.72-3.96, 1 K 3.93
2 K 0.3424 0.8424 0.0000  6 Sb 3.72-3.96, 1 K 3.93
3 K 0.6576 0.1576 0.0000  6 Sb 3.72-3.96, 1 K 3.93
4 K 0.8424 0.6576 0.0000  6 Sb 3.72-3.96, 1 K 3.93
5 Ba 0.0000 0.0000 0.5000  4 Sb 3.52
6 Ba 0.5000 0.5000 0.5000  4 Sb 3.52
7 Sb 0.1177 0.6177 0.5000  1 Sb 2.93
8 Sb 0.3823 0.1177 0.5000  1 Sb 2.93
9 Sb 0.6177 0.8823 0.5000  1 Sb 2.93
10 Sb 0.8823 0.3823 0.5000  1 Sb 2.93

=====

Entry 4:
Computed, not measured: a relaxed CeSi2NiPt5 crystal at the PBE level of DFT.

Calculated values
E_form (uncorrected)	-0.5844	eV/atom

a b c (Å): 4.0852 4.0852 10.1499
angles (deg): 90.00 90.00 90.00
Last column: nearest neighbours and their distance in Å.
Element x y z (fractional)
1 Ce 0.0000 0.0000 0.0000  4 Pt 2.89
2 Si 0.5000 0.5000 0.2326  5 Pt 2.36
3 Si 0.5000 0.5000 0.7674  5 Pt 2.36
4 Ni 0.0000 0.0000 0.5000  8 Pt 2.55
5 Pt 0.0000 0.5000 0.3493  2 Si 2.36, 2 Ni 2.55
6 Pt 0.0000 0.5000 0.6507  2 Si 2.36, 2 Ni 2.55
7 Pt 0.5000 0.0000 0.3493  2 Si 2.36, 2 Ni 2.55
8 Pt 0.5000 0.0000 0.6507  2 Si 2.36, 2 Ni 2.55
9 Pt 0.5000 0.5000 0.0000  2 Si 2.36

=====

Entry 5:
Computed, not measured: a relaxed CaP crystal at the PBE level of DFT.

Calculated values
energy of formation	-0.8307	eV per atom

a b c (Å): 6.3766 6.3766 3.8374
angles (deg): 93.85 93.85 36.66
Last column: nearest neighbours and their distance in Å.
Element x y z (fractional)
1 Ca 0.0000 0.0000 0.0000  4 P 2.87-3.02, 1 Ca 3.09
2 Ca 0.7474 0.7474 0.0677  6 P 2.88-3.04, 1 Ca 3.09
3 P 0.1782 0.1782 0.5460  1 P 2.32
4 P 0.3701 0.3701 0.5500  1 P 2.32

=====

Entry 6:
Computed, not measured: a relaxed Be2CrNi crystal at the PBE level of DFT.

Calculated values
energy of formation	-0.0227	eV per atom

a b c (Å): 4.5608 4.5608 4.5608
angles (deg): 148.02 130.08 60.52
Last column: nearest neighbours and their distance in Å.
Element x y z (fractional)
1 Be 0.0000 0.0000 0.0000  2 Be 2.18, 4 Ni 2.31, 2 Cr 2.43
2 Be 0.7735 0.2735 0.5000  2 Be 2.18, 2 Ni 2.28, 4 Cr 2.30
3 Cr 0.2635 0.7635 0.5000  6 Be 2.30-2.43, 2 Ni 2.46, 2 Cr 2.51
4 Ni 0.5324 0.5324 0.0000  6 Be 2.28-2.31, 2 Cr 2.46, 2 Ni 2.51

=====

Entry 7:
Computed, not measured: a relaxed CsK2GaI4 crystal at the PBE level of DFT.

Calculated values
E_form (uncorrected)	-1.1773	eV/atom

a b c (Å): 9.0991 9.0991 17.2147
angles (deg): 90.00 90.00 145.83
Last column: nearest neighbours and their distance in Å.
Element x y z (fractional)
1 Cs 0.1257 0.8743 0.7500  6 I 3.91-4.04
2 Cs 0.8743 0.1257 0.2500  6 I 3.91-4.04
3 K 0.3756 0.6244 0.5525  6 I 3.55-3.74
4 K 0.3756 0.6244 0.9475  6 I 3.55-3.74
5 K 0.6244 0.3756 0.0525  6 I 3.55-3.74
6 K 0.6244 0.3756 0.4475  6 I 3.55-3.74
7 Ga 0.1399 0.8601 0.2500  4 I 3.09-3.20
8 Ga 0.8601 0.1399 0.7500  4 I 3.09-3.20
9 I 0.0000 0.0000 0.0000  4 K 3.56
10 I 0.0000 0.0000 0.5000  4 K 3.56
11 I 0.2601 0.7399 0.1175  1 Ga 3.09
12 I 0.2601 0.7399 0.3825  1 Ga 3.09
13 I 0.4613 0.5387 0.7500  2 Ga 3.20
14 I 0.5387 0.4613 0.2500  2 Ga 3.20
15 I 0.7399 0.2601 0.6175  1 Ga 3.09
16 I 0.7399 0.2601 0.8825  1 Ga 3.09

=====

Entry 8:
Computed, not measured: a relaxed TlFeAs2 crystal at the PBE level of DFT.

Calculated values
energy of formation	0.0425	eV per atom
energy above the most stable polymorph in this dataset	0.7	kJ/mol of atoms

a b c (Å): 3.9597 3.9597 7.1669
angles (deg): 100.39 100.39 50.73
Last column: nearest neighbours and their distance in Å.
Element x y z (fractional)
1 Tl 0.0000 0.0000 0.0000  6 As 3.24-3.34, 2 Tl 3.39
2 Fe 0.5000 0.5000 0.5000  6 As 2.42-2.43
3 As 0.2240 0.2240 0.6485  3 Fe 2.42-2.43
4 As 0.7760 0.7760 0.3515  3 Fe 2.42-2.43

=====

Entry 9:
Computed, not measured: a relaxed TbScCuPd crystal at the PBE level of DFT.

Calculated values
energy of formation	-0.5538	eV per atom
energy above the most stable polymorph in this dataset	0.0	kJ/mol of atoms

a b c (Å): 4.4487 5.4490 5.4490
angles (deg): 38.28 90.00 90.00
Last column: nearest neighbours and their distance in Å.
Element x y z (fractional)
1 Tb 0.0000 0.0000 0.0000  3 Pd 2.84-2.92, 4 Cu 2.93
2 Sc 0.5000 0.2800 0.2800  3 Cu 2.84-2.94, 4 Pd 2.91
3 Cu 0.5000 0.5658 0.5658  2 Pd 2.76, 3 Sc 2.84-2.94, 4 Tb 2.93
4 Pd 0.0000 0.7240 0.7240  2 Cu 2.76, 3 Tb 2.84-2.92, 4 Sc 2.91

=====

Entry 10:
Computed, not measured: a relaxed ZnAgW2 crystal at the PBE level of DFT.

Calculated values
energy of formation	0.3491	eV per atom

a b c (Å): 2.7021 2.7021 8.7628
angles (deg): 90.00 90.00 90.00
Last column: nearest neighbours and their distance in Å.
Element x y z (fractional)
1 Zn 0.0000 0.0000 0.0000  4 Zn 2.70, 4 W 2.83, 4 Ag 2.85
2 Ag 0.5000 0.5000 0.2409  4 Ag 2.70, 4 Zn 2.85, 4 W 2.97
3 W 0.0000 0.0000 0.5006  8 W 2.70-2.99, 4 Ag 2.97
4 W 0.5000 0.5000 0.7623  8 W 2.70-2.99, 4 Zn 2.83

=====

Entry 11:
Computed, not measured: a relaxed Fe2PtCl crystal at the PBE level of DFT.

Calculated values
E_form (uncorrected)	0.5130	eV/atom
energy above the most stable polymorph in this dataset	55.1	kJ/mol of atoms

a b c (Å): 5.3220 5.3220 5.3220
angles (deg): 139.86 139.86 58.06
Last column: nearest neighbours and their distance in Å.
Element x y z (fractional)
1 Fe 0.0000 0.0000 0.0000  4 Cl 2.58
2 Fe 0.7500 0.2500 0.5000  4 Pt 2.58
3 Pt 0.2500 0.7500 0.5000  4 Fe 2.58
4 Cl 0.5000 0.5000 0.0000  4 Fe 2.58

=====

Entry 12:
Computed, not measured: a relaxed LiNdPt crystal at the PBE level of DFT.

Calculated values
energy of formation	-0.7429	eV per atom
energy above the most stable polymorph in this dataset	6.7	kJ/mol of atoms

a b c (Å): 5.6403 5.6403 7.4123
angles (deg): 118.72 118.72 41.66
Last column: nearest neighbours and their distance in Å.
Element x y z (fractional)
1 Li 0.1997 0.1997 0.0755  3 Pt 2.63-2.76, 2 Li 2.76
2 Li 0.8003 0.8003 0.9245  3 Pt 2.63-2.76, 2 Li 2.76
3 Nd 0.4311 0.4311 0.6746  5 Pt 2.94-3.08
4 Nd 0.5689 0.5689 0.3254  5 Pt 2.94-3.08
5 Pt 0.1518 0.1518 0.6734  3 Li 2.63-2.76, 1 Pt 2.90, 1 Nd 2.94
6 Pt 0.8482 0.8482 0.3266  3 Li 2.63-2.76, 1 Pt 2.90, 1 Nd 2.94

=====

Entry 13:
Computed, not measured: a relaxed K4AcSm3O8 crystal at the PBE level of DFT.

Calculated values
E_form (uncorrected)	-2.6263	eV/atom

a b c (Å): 7.5945 7.5945 7.5945
angles (deg): 57.57 57.57 57.57
Last column: nearest neighbours and their distance in Å.
Element x y z (fractional)
1 K 0.0000 0.0000 0.0000  6 O 2.82
2 K 0.0000 0.5000 0.5000  6 O 2.88-2.91
3 K 0.5000 0.0000 0.5000  6 O 2.88-2.91
4 K 0.5000 0.5000 0.0000  6 O 2.88-2.91
5 Ac 0.5000 0.5000 0.5000  6 O 2.50
6 Sm 0.0000 0.0000 0.5000  6 O 2.40-2.42
7 Sm 0.0000 0.5000 0.0000  6 O 2.40-2.42
8 Sm 0.5000 0.0000 0.0000  6 O 2.40-2.42
9 O 0.2178 0.7365 0.7365  2 Sm 2.40, 1 Ac 2.50
10 O 0.2296 0.2296 0.2296  3 Sm 2.42
11 O 0.2635 0.2635 0.7822  2 Sm 2.40, 1 Ac 2.50
12 O 0.2635 0.7822 0.2635  2 Sm 2.40, 1 Ac 2.50
13 O 0.7365 0.2178 0.7365  2 Sm 2.40, 1 Ac 2.50
14 O 0.7365 0.7365 0.2178  2 Sm 2.40, 1 Ac 2.50
15 O 0.7704 0.7704 0.7704  3 Sm 2.42
16 O 0.7822 0.2635 0.2635  2 Sm 2.40, 1 Ac 2.50

=====

Entry 14:
Computed, not measured: a relaxed LaRuRh4S8 crystal at the PBE level of DFT.

Calculated values
E_form (uncorrected)	-0.5840	eV/atom

a b c (Å): 7.3649 7.3649 7.3649
angles (deg): 57.79 57.79 57.79
Last column: nearest neighbours and their distance in Å.
Element x y z (fractional)
1 La 0.0000 0.0000 0.0000  6 S 2.68-2.90, 1 Rh 2.89
2 Ru 0.4842 0.4842 0.4842  6 S 2.32-2.40
3 Rh 0.4759 0.4759 0.9902  6 S 2.34-2.50
4 Rh 0.4759 0.9902 0.4759  6 S 2.34-2.50
5 Rh 0.8426 0.8426 0.8426  4 S 2.31-2.47
6 Rh 0.9902 0.4759 0.4759  6 S 2.34-2.50
7 S 0.2476 0.2476 0.2476  3 Rh 2.34
8 S 0.2600 0.2600 0.6746  1 Ru 2.32, 2 Rh 2.42
9 S 0.2600 0.6746 0.2600  1 Ru 2.32, 2 Rh 2.42
10 S 0.2625 0.7175 0.7175  1 Ru 2.40, 3 Rh 2.47-2.50
11 S 0.6746 0.2600 0.2600  1 Ru 2.32, 2 Rh 2.42
12 S 0.7164 0.7164 0.7164  4 Rh 2.31-2.46
13 S 0.7175 0.2625 0.7175  1 Ru 2.40, 3 Rh 2.47-2.50
14 S 0.7175 0.7175 0.2625  1 Ru 2.40, 3 Rh 2.47-2.50

=====

Entry 15:
Computed, not measured: a relaxed Tm5InHg6 crystal at the PBE level of DFT.

Calculated values
energy of formation	-0.4272	eV per atom

a b c (Å): 8.9903 8.9903 5.1107
angles (deg): 106.44 106.44 48.60
Last column: nearest neighbours and their distance in Å.
Element x y z (fractional)
1 Tm 0.0000 0.0000 0.0000  8 Hg 3.10-3.22
2 Tm 0.1715 0.1715 0.6716  8 Hg 3.10-3.20
3 Tm 0.3452 0.3452 0.3451  8 Hg 3.10-3.26
4 Tm 0.6548 0.6548 0.6549  8 Hg 3.10-3.26
5 Tm 0.8285 0.8285 0.3284  8 Hg 3.10-3.20
6 In 0.5000 0.5000 0.0000  8 Hg 3.21-3.26, 4 Tm 3.51-3.52
7 Hg 0.0739 0.5843 0.8287  7 Tm 3.10-3.26, 1 In 3.26
8 Hg 0.2368 0.7632 0.5000  6 Tm 3.10-3.20, 2 In 3.21
9 Hg 0.4157 0.9261 0.1713  7 Tm 3.10-3.26, 1 In 3.26
10 Hg 0.5843 0.0739 0.8287  7 Tm 3.10-3.26, 1 In 3.26
11 Hg 0.7632 0.2368 0.5000  6 Tm 3.10-3.20, 2 In 3.21
12 Hg 0.9261 0.4157 0.1713  7 Tm 3.10-3.26, 1 In 3.26

=====

Entry 16:
Computed, not measured: a relaxed Th2ZrGa crystal at the PBE level of DFT.

Calculated values
energy of formation	-0.0961	eV per atom
energy above the most stable polymorph in this dataset	6.9	kJ/mol of atoms

a b c (Å): 3.9569 3.9569 6.8032
angles (deg): 90.00 90.00 90.00
Last column: nearest neighbours and their distance in Å.
Element x y z (fractional)
1 Th 0.0000 0.0000 0.2305  1 Th 3.14, 4 Ga 3.21, 4 Zr 3.35
2 Th 0.0000 0.0000 0.7695  1 Th 3.14, 4 Ga 3.21, 4 Zr 3.35
3 Zr 0.5000 0.5000 0.5000  8 Th 3.35, 2 Ga 3.40
4 Ga 0.5000 0.5000 0.0000  8 Th 3.21, 2 Zr 3.40

=====

Entry 17:
Computed, not measured: a relaxed La3InGa2Pd9 crystal at the PBE level of DFT.

Calculated values
energy of formation	-0.6341	eV per atom

a b c (Å): 5.7726 5.7726 11.8200
angles (deg): 90.00 90.00 120.00
Last column: nearest neighbours and their distance in Å.
Element x y z (fractional)
1 La 0.0000 0.0000 0.0000  6 Pd 2.89
2 La 0.3333 0.6667 0.7376  6 Pd 2.95
3 La 0.6667 0.3333 0.2624  6 Pd 2.95
4 In 0.0000 0.0000 0.5000  6 Pd 2.73
5 Ga 0.3333 0.6667 0.1605  6 Pd 2.49-2.53
6 Ga 0.6667 0.3333 0.8395  6 Pd 2.49-2.53
7 Pd 0.0000 0.5000 0.0000  2 Ga 2.53
8 Pd 0.1631 0.3263 0.3146  1 Ga 2.49, 1 In 2.73
9 Pd 0.1631 0.8369 0.3146  1 Ga 2.49, 1 In 2.73
10 Pd 0.3263 0.1631 0.6854  1 Ga 2.49, 1 In 2.73
11 Pd 0.5000 0.0000 0.0000  2 Ga 2.53
12 Pd 0.5000 0.5000 0.0000  2 Ga 2.53
13 Pd 0.6737 0.8369 0.3146  1 Ga 2.49, 1 In 2.73
14 Pd 0.8369 0.1631 0.6854  1 Ga 2.49, 1 In 2.73
15 Pd 0.8369 0.6737 0.6854  1 Ga 2.49, 1 In 2.73

=====

Entry 18:
Computed, not measured: a relaxed PmUS2 crystal at the PBE level of DFT.

Calculated values
E_form (uncorrected)	-1.5764	eV/atom
energy above the most stable polymorph in this dataset	9.8	kJ/mol of atoms

a b c (Å): 7.4596 7.4596 7.4596
angles (deg): 29.52 29.52 29.52
Last column: nearest neighbours and their distance in Å.
Element x y z (fractional)
1 Pm 0.0000 0.0000 0.0000  6 S 2.78-2.91
2 U 0.8243 0.8243 0.8243  6 S 2.75-2.87
3 S 0.4132 0.4132 0.4132  3 U 2.75, 3 Pm 2.78
4 S 0.5776 0.5776 0.5776  3 U 2.87, 3 Pm 2.91

=====

Entry 19:
Computed, not measured: a relaxed Mn4CdRu crystal at the PBE level of DFT.

Calculated values
energy of formation	0.2919	eV per atom

a b c (Å): 4.7932 4.7932 4.7932
angles (deg): 60.00 60.00 60.00
Last column: nearest neighbours and their distance in Å.
Element x y z (fractional)
1 Mn 0.1249 0.1249 0.1249  6 Mn 2.40
2 Mn 0.1249 0.1249 0.6252  6 Mn 2.40
3 Mn 0.1249 0.6252 0.1249  6 Mn 2.40
4 Mn 0.6252 0.1249 0.1249  6 Mn 2.40
5 Cd 0.7500 0.7500 0.7500  12 Mn 2.81, 4 Ru 2.94
6 Ru 0.5000 0.5000 0.5000  12 Mn 2.81, 4 Cd 2.94

=====

Entry 20:
Computed, not measured: a relaxed Rb2CeF5 crystal at the PBE level of DFT.

Calculated values
E_form (uncorrected)	-3.3963	eV/atom
energy above the most stable polymorph in this dataset	0.0	kJ/mol of atoms

a b c (Å): 11.5590 7.8257 7.0085
angles (deg): 90.00 90.00 90.00
Last column: nearest neighbours and their distance in Å.
Element x y z (fractional)
1 Rb 0.1700 0.0030 0.0331  8 F 2.84-3.06
2 Rb 0.1700 0.4970 0.0331  8 F 2.84-3.06
3 Rb 0.3300 0.5030 0.5331  8 F 2.84-3.06
4 Rb 0.3300 0.9970 0.5331  8 F 2.84-3.06
5 Rb 0.6700 0.0030 0.4669  8 F 2.84-3.06
6 Rb 0.6700 0.4970 0.4669  8 F 2.84-3.06
7 Rb 0.8300 0.5030 0.9669  8 F 2.84-3.06
8 Rb 0.8300 0.9970 0.9669  8 F 2.84-3.06
9 Ce 0.0018 0.2500 0.5568  7 F 2.31-2.45
10 Ce 0.4982 0.7500 0.0568  7 F 2.31-2.45
11 Ce 0.5018 0.2500 0.9432  7 F 2.31-2.45
12 Ce 0.9982 0.7500 0.4432  7 F 2.31-2.45
13 F 0.0129 0.2500 0.8895  1 Ce 2.34
14 F 0.0753 0.5325 0.6465  2 Ce 2.39-2.45
15 F 0.0753 0.9675 0.6465  2 Ce 2.39-2.45
16 F 0.1671 0.2500 0.3721  1 Ce 2.31
17 F 0.1897 0.7500 0.3430  1 Ce 2.32
18 F 0.3103 0.2500 0.8430  1 Ce 2.32
19 F 0.3329 0.7500 0.8721  1 Ce 2.31
20 F 0.4247 0.0325 0.1465  2 Ce 2.39-2.45
21 F 0.4247 0.4675 0.1465  2 Ce 2.39-2.45
22 F 0.4871 0.7500 0.3895  1 Ce 2.34
23 F 0.5129 0.2500 0.6105  1 Ce 2.34
24 F 0.5753 0.5325 0.8535  2 Ce 2.39-2.45
25 F 0.5753 0.9675 0.8535  2 Ce 2.39-2.45
26 F 0.6671 0.2500 0.1279  1 Ce 2.31
27 F 0.6897 0.7500 0.1570  1 Ce 2.32
28 F 0.8103 0.2500 0.6570  1 Ce 2.32
29 F 0.8329 0.7500 0.6279  1 Ce 2.31
30 F 0.9247 0.0325 0.3535  2 Ce 2.39-2.45
31 F 0.9247 0.4675 0.3535  2 Ce 2.39-2.45
32 F 0.9871 0.7500 0.1105  1 Ce 2.34

=====

What DOS(E_F) values result from the calculations? In sequence: 1.63, 0.79, 0.32, 1.36, 0.22, 0.97, 0.00, 0.67, 0.59, 0.44, 1.23, 0.54, 0.00, 0.62, 0.60, 1.80, 0.36, 0.79, 1.54, 0.49 states/eV/atom.